Density functional theory data (PBE) for a geometry-optimized YCdAgAu structure.

Cell: 6.987 6.987 6.987 Å, 90.00 90.00 90.00°
Element x y z (fractional)
Y: 0.000 0.000 0.000
Y: 0.000 0.500 0.500
Y: 0.500 0.000 0.500
Y: 0.500 0.500 0.000
Cd: 0.250 0.250 0.250
Cd: 0.250 0.750 0.750
Cd: 0.750 0.250 0.750
Cd: 0.750 0.750 0.250
Ag: 0.000 0.000 0.500
Ag: 0.000 0.500 0.000
Ag: 0.500 0.000 0.000
Ag: 0.500 0.500 0.500
Au: 0.250 0.250 0.750
Au: 0.250 0.750 0.250
Au: 0.750 0.250 0.250
Au: 0.750 0.750 0.750

Results
Total magnetic moment (μB/cell): 0.01
Formation enthalpy at 0 K (eV per atom): -0.420

***

Density functional theory data (PBE) for a geometry-optimized YCdAgAu structure.

Cell: 6.952 6.952 6.952 Å, 90.00 90.00 90.00°
Element x y z (fractional)
Y: 0.000 0.000 0.000
Y: 0.000 0.500 0.500
Y: 0.500 0.000 0.500
Y: 0.500 0.500 0.000
Cd: 0.250 0.250 0.750
Cd: 0.250 0.750 0.250
Cd: 0.750 0.250 0.250
Cd: 0.750 0.750 0.750
Ag: 0.250 0.250 0.250
Ag: 0.250 0.750 0.750
Ag: 0.750 0.250 0.750
Ag: 0.750 0.750 0.250
Au: 0.000 0.000 0.500
Au: 0.000 0.500 0.000
Au: 0.500 0.000 0.000
Au: 0.500 0.500 0.500

Results
Total magnetic moment (μB/cell): 0.00
Formation enthalpy at 0 K (eV per atom): -0.358

***

Density functional theory data (PBE) for a geometry-optimized YCdAgAu structure.

Cell: 6.985 6.985 6.985 Å, 90.00 90.00 90.00°
Element x y z (fractional)
Y: 0.000 0.000 0.000
Y: 0.000 0.500 0.500
Y: 0.500 0.000 0.500
Y: 0.500 0.500 0.000
Cd: 0.000 0.000 0.500
Cd: 0.000 0.500 0.000
Cd: 0.500 0.000 0.000
Cd: 0.500 0.500 0.500
Ag: 0.250 0.250 0.250
Ag: 0.250 0.750 0.750
Ag: 0.750 0.250 0.750
Ag: 0.750 0.750 0.250
Au: 0.250 0.250 0.750
Au: 0.250 0.750 0.250
Au: 0.750 0.250 0.250
Au: 0.750 0.750 0.750

Results
Total magnetic moment (μB/cell): 0.01
Formation enthalpy at 0 K (eV per atom): -0.503

***

Density functional theory data (PBE) for a geometry-optimized ZrCdAgAu structure.

Cell: 6.773 6.773 6.773 Å, 90.00 90.00 90.00°
Element x y z (fractional)
Zr: 0.000 0.000 0.000
Zr: 0.000 0.500 0.500
Zr: 0.500 0.000 0.500
Zr: 0.500 0.500 0.000
Cd: 0.000 0.000 0.500
Cd: 0.000 0.500 0.000
Cd: 0.500 0.000 0.000
Cd: 0.500 0.500 0.500
Ag: 0.250 0.250 0.750
Ag: 0.250 0.750 0.250
Ag: 0.750 0.250 0.250
Ag: 0.750 0.750 0.750
Au: 0.250 0.250 0.250
Au: 0.250 0.750 0.750
Au: 0.750 0.250 0.750
Au: 0.750 0.750 0.250

Results
Total magnetic moment (μB/cell): 0.01
Formation enthalpy at 0 K (eV per atom): -0.300

***

Density functional theory data (PBE) for a geometry-optimized ZrCdAgAu structure.

Cell: 6.753 6.753 6.753 Å, 90.00 90.00 90.00°
Element x y z (fractional)
Zr: 0.000 0.000 0.000
Zr: 0.000 0.500 0.500
Zr: 0.500 0.000 0.500
Zr: 0.500 0.500 0.000
Cd: 0.250 0.250 0.750
Cd: 0.250 0.750 0.250
Cd: 0.750 0.250 0.250
Cd: 0.750 0.750 0.750
Ag: 0.250 0.250 0.250
Ag: 0.250 0.750 0.750
Ag: 0.750 0.250 0.750
Ag: 0.750 0.750 0.250
Au: 0.000 0.000 0.500
Au: 0.000 0.500 0.000
Au: 0.500 0.000 0.000
Au: 0.500 0.500 0.500

Results
Total magnetic moment (μB/cell): 0.00
Formation enthalpy at 0 K (eV per atom): -0.144

***

Density functional theory data (PBE) for a geometry-optimized ZrCdAgAu structure.

Cell: 6.770 6.770 6.770 Å, 90.00 90.00 90.00°
Element x y z (fractional)
Zr: 0.000 0.000 0.000
Zr: 0.000 0.500 0.500
Zr: 0.500 0.000 0.500
Zr: 0.500 0.500 0.000
Cd: 0.250 0.250 0.250
Cd: 0.250 0.750 0.750
Cd: 0.750 0.250 0.750
Cd: 0.750 0.750 0.250
Ag: 0.000 0.000 0.500
Ag: 0.000 0.500 0.000
Ag: 0.500 0.000 0.000
Ag: 0.500 0.500 0.500
Au: 0.250 0.250 0.750
Au: 0.250 0.750 0.250
Au: 0.750 0.250 0.250
Au: 0.750 0.750 0.750

Results
Total magnetic moment (μB/cell): 0.01
Formation enthalpy at 0 K (eV per atom): -0.232

***

Density functional theory data (PBE) for a geometry-optimized CoAgGeAu structure.

Cell: 6.332 6.332 6.332 Å, 90.00 90.00 90.00°
Element x y z (fractional)
Co: 0.000 0.000 0.000
Co: 0.000 0.500 0.500
Co: 0.500 0.000 0.500
Co: 0.500 0.500 0.000
Ag: 0.000 0.000 0.500
Ag: 0.000 0.500 0.000
Ag: 0.500 0.000 0.000
Ag: 0.500 0.500 0.500
Ge: 0.250 0.250 0.750
Ge: 0.250 0.750 0.250
Ge: 0.750 0.250 0.250
Ge: 0.750 0.750 0.750
Au: 0.250 0.250 0.250
Au: 0.250 0.750 0.750
Au: 0.750 0.250 0.750
Au: 0.750 0.750 0.250

Results
Total magnetic moment (μB/cell): 5.10

***

Density functional theory data (PBE) for a geometry-optimized CoReAgAu structure.

Cell: 6.260 6.260 6.260 Å, 90.00 90.00 90.00°
Element x y z (fractional)
Co: 0.000 0.000 0.000
Co: 0.000 0.500 0.500
Co: 0.500 0.000 0.500
Co: 0.500 0.500 0.000
Re: 0.250 0.250 0.750
Re: 0.250 0.750 0.250
Re: 0.750 0.250 0.250
Re: 0.750 0.750 0.750
Ag: 0.250 0.250 0.250
Ag: 0.250 0.750 0.750
Ag: 0.750 0.250 0.750
Ag: 0.750 0.750 0.250
Au: 0.000 0.000 0.500
Au: 0.000 0.500 0.000
Au: 0.500 0.000 0.000
Au: 0.500 0.500 0.500

Results
Total magnetic moment (μB/cell): 0.30
Formation enthalpy at 0 K (eV per atom): 0.743

***

Density functional theory data (PBE) for a geometry-optimized CoSiAgAu structure.

Cell: 6.216 6.216 6.216 Å, 90.00 90.00 90.00°
Element x y z (fractional)
Co: 0.000 0.000 0.000
Co: 0.000 0.500 0.500
Co: 0.500 0.000 0.500
Co: 0.500 0.500 0.000
Si: 0.250 0.250 0.750
Si: 0.250 0.750 0.250
Si: 0.750 0.250 0.250
Si: 0.750 0.750 0.750
Ag: 0.250 0.250 0.250
Ag: 0.250 0.750 0.750
Ag: 0.750 0.250 0.750
Ag: 0.750 0.750 0.250
Au: 0.000 0.000 0.500
Au: 0.000 0.500 0.000
Au: 0.500 0.000 0.000
Au: 0.500 0.500 0.500

Results
Total magnetic moment (μB/cell): 5.14

***

Density functional theory data (PBE) for a geometry-optimized CoAgSnAu structure.

Cell: 6.498 6.498 6.498 Å, 90.00 90.00 90.00°
Element x y z (fractional)
Co: 0.000 0.000 0.000
Co: 0.000 0.500 0.500
Co: 0.500 0.000 0.500
Co: 0.500 0.500 0.000
Ag: 0.000 0.000 0.500
Ag: 0.000 0.500 0.000
Ag: 0.500 0.000 0.000
Ag: 0.500 0.500 0.500
Sn: 0.250 0.250 0.750
Sn: 0.250 0.750 0.250
Sn: 0.750 0.250 0.250
Sn: 0.750 0.750 0.750
Au: 0.250 0.250 0.250
Au: 0.250 0.750 0.750
Au: 0.750 0.250 0.750
Au: 0.750 0.750 0.250

Results
Total magnetic moment (μB/cell): 4.82

***

Density functional theory data (PBE) for a geometry-optimized CoTcAgAu structure.

Cell: 6.319 6.319 6.319 Å, 90.00 90.00 90.00°
Element x y z (fractional)
Co: 0.000 0.000 0.000
Co: 0.000 0.500 0.500
Co: 0.500 0.000 0.500
Co: 0.500 0.500 0.000
Tc: 0.250 0.250 0.750
Tc: 0.250 0.750 0.250
Tc: 0.750 0.250 0.250
Tc: 0.750 0.750 0.750
Ag: 0.250 0.250 0.250
Ag: 0.250 0.750 0.750
Ag: 0.750 0.250 0.750
Ag: 0.750 0.750 0.250
Au: 0.000 0.000 0.500
Au: 0.000 0.500 0.000
Au: 0.500 0.000 0.000
Au: 0.500 0.500 0.500

Results
Total magnetic moment (μB/cell): 15.69
Formation enthalpy at 0 K (eV per atom): 0.536

***

Density functional theory data (PBE) for a geometry-optimized CsAgAu structure.

Cell: 7.578 7.578 7.578 Å, 90.00 90.00 90.00°
Element x y z (fractional)
Cs: 0.000 0.000 0.000
Cs: 0.000 0.500 0.500
Cs: 0.500 0.000 0.500
Cs: 0.500 0.500 0.000
Ag: 0.250 0.250 0.750
Ag: 0.250 0.750 0.250
Ag: 0.750 0.250 0.250
Ag: 0.750 0.750 0.750
Au: 0.000 0.000 0.500
Au: 0.000 0.500 0.000
Au: 0.500 0.000 0.000
Au: 0.500 0.500 0.500

***

Density functional theory data (PBE) for a geometry-optimized CsAgAu structure.

Cell: 8.167 8.167 8.167 Å, 90.00 90.00 90.00°
Element x y z (fractional)
Cs: 0.000 0.000 0.000
Cs: 0.000 0.500 0.500
Cs: 0.500 0.000 0.500
Cs: 0.500 0.500 0.000
Ag: 0.250 0.250 0.750
Ag: 0.250 0.750 0.250
Ag: 0.750 0.250 0.250
Ag: 0.750 0.750 0.750
Au: 0.250 0.250 0.250
Au: 0.250 0.750 0.750
Au: 0.750 0.250 0.750
Au: 0.750 0.750 0.250

***

Density functional theory data (PBE) for a geometry-optimized CsAgAu structure.

Cell: 7.719 7.719 7.719 Å, 90.00 90.00 90.00°
Element x y z (fractional)
Cs: 0.000 0.000 0.000
Cs: 0.000 0.500 0.500
Cs: 0.500 0.000 0.500
Cs: 0.500 0.500 0.000
Ag: 0.000 0.000 0.500
Ag: 0.000 0.500 0.000
Ag: 0.500 0.000 0.000
Ag: 0.500 0.500 0.500
Au: 0.250 0.250 0.750
Au: 0.250 0.750 0.250
Au: 0.750 0.250 0.250
Au: 0.750 0.750 0.750

***

no.,energy (eV/atom),ΔE to the lowest computed polymorph (kJ/mol of atoms)
1,-3.78,8.0
2,-3.72,14.0
3,-3.87,0.0
4,-4.18,0.0
5,-4.03,15.0
6,-4.11,6.6
7,-4.20,0.0
8,-5.66,0.0
9,-4.40,0.0
10,-4.13,0.0
11,-5.35,0.0
12,-2.07,2.2
13,-1.75,33.3
14,-2.10,0.0